# LiPuBeO5

Crystalline LiPuBeO5 at its relaxed geometry (GGA-PBE, the Alexandria database).

Summary:
Formation energy from raw total energies (eV/f.u.): -18.39
Total energy (eV/cell): -126.30
Total magnetic moment (μB per cell): 2.00

Lattice parameters (Å, degrees): 5.4800 5.4800 7.6446 108.06 108.06 94.23
With the nearest neighbours (Å) after each atom.
Fractional coordinates of all 16 atoms:
Li 0.0858 0.9142 0.7500  3 O 1.92-1.98
Li 0.9142 0.0858 0.2500  3 O 1.92-1.98
Pu 0.0000 0.5000 0.0000  6 O 1.94-2.12
Pu 0.5000 0.0000 0.5000  6 O 1.94-2.12
Be 0.4080 0.5920 0.7500  4 O 1.65
Be 0.5920 0.4080 0.2500  4 O 1.65
O 0.1534 0.8466 0.2500  1 Li 1.92, 2 Pu 2.12
O 0.1938 0.6420 0.8618  1 Be 1.65
O 0.2905 0.3348 0.0927  1 Be 1.65
O 0.3348 0.2905 0.5927  1 Be 1.65
O 0.3580 0.8062 0.6382  1 Be 1.65
O 0.6420 0.1938 0.3618  1 Be 1.65
O 0.6652 0.7095 0.4073  1 Be 1.65
O 0.7095 0.6652 0.9073  1 Be 1.65
O 0.8062 0.3580 0.1382  1 Be 1.65
O 0.8466 0.1534 0.7500  1 Li 1.92, 2 Pu 2.12